The following is a PBE-GGA calculation of a relaxed SrMgMo2Au crystal, from Alexandria.

## Properties
V   30.73 Å³ per atom
Uncorrected energy   -0.3124 Ry per atom
Energy relative to the elements   1.393 eV per atom

Cell lengths 5.2301, 5.2301, 5.6166 Å; angles 90.00, 90.00, 90.00 degrees
Closest atoms and distances in Å follow each position.
Space group P4/mmm (No. 123)
Symmetry-distinct sites (fractional):
Sr 0.0000 0.0000 0.0000  2 Au 2.81
Mg 0.5000 0.5000 0.0000  4 Sr 3.70, 8 Mo 3.84
Mo 0.0000 0.5000 0.5000  2 Au 2.62
Au 0.0000 0.0000 0.5000  4 Mo 2.62, 2 Sr 2.81